Entry 1
Here is crystalline ErMg2Ti at its relaxed geometry from the Alexandria database. Energies are from PBE-GGA.

Cell lengths 3.5258, 3.5258, 7.2809 Å; angles 90.00, 90.00, 90.00 degrees
Closest atoms and distances in Å follow each position.
Atoms (fractional coordinates):
1 Er 0.0000 0.0000 0.0000  8 Mg 3.23, 4 Er 3.53
2 Mg 0.5000 0.5000 0.2822  4 Ti 2.95, 1 Mg 3.17, 4 Er 3.23
3 Mg 0.5000 0.5000 0.7178  4 Ti 2.95, 1 Mg 3.17, 4 Er 3.23
4 Ti 0.0000 0.0000 0.5000  8 Mg 2.95

Size of the total moment   0.02 μB per formula unit

---

Entry 2
Here is crystalline ErMg2Ti at its relaxed geometry from the Alexandria database. Energies are from PBE-GGA.

Cell lengths 4.4930, 4.4930, 4.6162 Å; angles 90.00, 90.00, 90.00 degrees
Closest atoms and distances in Å follow each position.
Atoms (fractional coordinates):
1 Er 0.0000 0.0000 0.0000  4 Ti 3.18, 8 Mg 3.22
2 Mg 0.0000 0.5000 0.5000  4 Mg 3.18, 4 Ti 3.22, 4 Er 3.22
3 Mg 0.5000 0.0000 0.5000  4 Mg 3.18, 4 Ti 3.22, 4 Er 3.22
4 Ti 0.5000 0.5000 0.0000  4 Er 3.18, 8 Mg 3.22

Size of the total moment   1.54 μB per formula unit

---

Entry 3
Here is crystalline ErMg2Ti at its relaxed geometry from the Alexandria database. Energies are from PBE-GGA.

Cell lengths 11.7655, 11.7655, 11.7655 Å; angles 14.91, 14.91, 14.91 degrees
Closest atoms and distances in Å follow each position.
Atoms (fractional coordinates):
1 Er 0.0000 0.0000 0.0000  6 Er 3.05, 6 Mg 3.40
2 Mg 0.4166 0.4166 0.4166  1 Ti 2.91, 6 Mg 3.05
3 Mg 0.5834 0.5834 0.5834  1 Ti 2.91, 6 Mg 3.05
4 Ti 0.5000 0.5000 0.5000  2 Mg 2.91, 6 Ti 3.05

Size of the total moment   0.01 μB per formula unit

---

Relative energy of each structure, in eV/atom: entry 1 0.000; entry 2 0.023; entry 3 0.272.

---

Entry 1
Here is crystalline Er2MgTi at its relaxed geometry from the Alexandria database. Energies are from PBE-GGA.

Cell lengths 5.2164, 5.2164, 5.2164 Å; angles 60.00, 60.00, 60.00 degrees
Closest atoms and distances in Å follow each position.
Atoms (fractional coordinates):
1 Er 0.2500 0.2500 0.2500  4 Ti 3.19, 4 Mg 3.19
2 Er 0.7500 0.7500 0.7500  4 Mg 3.19, 4 Ti 3.19
3 Mg 0.0000 0.0000 0.0000  8 Er 3.19
4 Ti 0.5000 0.5000 0.5000  8 Er 3.19

Size of the total moment   2.23 μB per formula unit

---

Entry 2
Here is crystalline Er2MgTi at its relaxed geometry from the Alexandria database. Energies are from PBE-GGA.

Cell lengths 3.3719, 3.3719, 8.8626 Å; angles 90.00, 90.00, 90.00 degrees
Closest atoms and distances in Å follow each position.
Atoms (fractional coordinates):
1 Er 0.0000 0.0000 0.2305  4 Ti 3.14, 4 Er 3.37, 4 Mg 3.37
2 Er 0.0000 0.0000 0.7695  4 Ti 3.14, 4 Er 3.37, 4 Mg 3.37
3 Mg 0.5000 0.5000 0.5000  4 Mg 3.37, 8 Er 3.37
4 Ti 0.5000 0.5000 0.0000  8 Er 3.14, 4 Ti 3.37

Size of the total moment   0.00 μB per formula unit

---

Relative energy of each structure, in eV/atom: entry 1 0.089; entry 2 0.000.

---

Entry 1
Here is crystalline Er2MgTi at its relaxed geometry from the Alexandria database. Energies are from PBE-GGA.

Cell lengths 5.3544, 5.3544, 3.5429 Å; angles 90.00, 90.00, 90.00 degrees
Closest atoms and distances in Å follow each position.
Atoms (fractional coordinates):
1 Er 0.0000 0.5000 0.0000  4 Mg 3.21, 4 Ti 3.21, 2 Er 3.54
2 Er 0.5000 0.0000 0.0000  4 Mg 3.21, 4 Ti 3.21, 2 Er 3.54
3 Mg 0.0000 0.0000 0.5000  8 Er 3.21, 2 Mg 3.54
4 Ti 0.5000 0.5000 0.5000  8 Er 3.21, 2 Ti 3.54

Size of the total moment   2.40 μB per formula unit

---

Entry 2
Here is crystalline Er2MgTi at its relaxed geometry from the Alexandria database. Energies are from PBE-GGA.

Cell lengths 10.8828, 10.8828, 10.8828 Å; angles 17.48, 17.48, 17.48 degrees
Closest atoms and distances in Å follow each position.
Atoms (fractional coordinates):
1 Er 0.2437 0.2437 0.2437  3 Ti 3.13, 6 Er 3.31, 3 Mg 3.46
2 Er 0.7563 0.7563 0.7563  3 Ti 3.13, 6 Er 3.31, 3 Mg 3.46
3 Mg 0.0000 0.0000 0.0000  6 Mg 3.31, 6 Er 3.46
4 Ti 0.5000 0.5000 0.5000  6 Er 3.13, 6 Ti 3.31

Size of the total moment   0.01 μB per formula unit

---

Relative energy of each structure, in eV/atom: entry 1 0.005; entry 2 0.000.

---

Entry 1
Here is crystalline Er2MgTl at its relaxed geometry from the Alexandria database. Energies are from PBE-GGA.

Cell lengths 3.7988, 3.7988, 7.3320 Å; angles 90.00, 90.00, 90.00 degrees
Closest atoms and distances in Å follow each position.
Atoms (fractional coordinates):
1 Er 0.0000 0.0000 0.2453  4 Mg 3.23, 4 Tl 3.27, 1 Er 3.60
2 Er 0.0000 0.0000 0.7547  4 Mg 3.23, 4 Tl 3.27, 1 Er 3.60
3 Mg 0.5000 0.5000 0.0000  8 Er 3.23
4 Tl 0.5000 0.5000 0.5000  8 Er 3.27

Size of the total moment   0.00 μB per formula unit

---

Entry 2
Here is crystalline Er2MgTl at its relaxed geometry from the Alexandria database. Energies are from PBE-GGA.

Cell lengths 5.2955, 5.2955, 5.2955 Å; angles 60.00, 60.00, 60.00 degrees
Closest atoms and distances in Å follow each position.
Atoms (fractional coordinates):
1 Er 0.2500 0.2500 0.2500  4 Tl 3.24, 4 Mg 3.24
2 Er 0.7500 0.7500 0.7500  4 Tl 3.24, 4 Mg 3.24
3 Mg 0.0000 0.0000 0.0000  8 Er 3.24
4 Tl 0.5000 0.5000 0.5000  8 Er 3.24

Size of the total moment   0.00 μB per formula unit

---

Relative energy of each structure, in eV/atom: entry 1 0.000; entry 2 0.008.